(1)
Pm6Y3Ho GGA-PBE relaxed; Fermi-level density of states = 27.1 states/eV/cell; excess energy over the best structure of this formula in the dataset = 0.00 eV/f.u.; formation energy from the elements = 0.136 eV/atom; calculated volume = 338.47 Å³/f.u.; SG = Cmc2_1; raw total energy = -0.3757 Ry/atom
1.0
-0.998 -1.582 5.964
8.109 -7.695 -0.684
2.398 10.469 3.178
Pm Y Ho
12 6 2
Direct
0.038 0.710 0.623
0.538 0.623 0.710
0.363 0.526 0.947
0.863 0.947 0.526
0.420 0.958 0.042
0.640 0.279 0.721
0.140 0.721 0.279
0.920 0.042 0.958
0.363 0.053 0.474
0.863 0.474 0.053
0.038 0.377 0.290
0.538 0.290 0.377
0.465 0.944 0.720
0.965 0.720 0.944
0.073 0.386 0.614
0.573 0.614 0.386
0.965 0.056 0.280
0.465 0.280 0.056
0.119 0.201 0.799
0.619 0.799 0.201

***

(2)
NaS4O12 GGA-PBE relaxed; Fermi-level density of states = 4.3 states/eV/cell; calculated volume = 149.04 Å³/f.u.; SG = Im-3; raw total energy = -0.3485 Ry/atom
1.0
5.785 0.000 0.000
-1.928 5.454 0.000
-1.928 -2.727 4.724
Na S O
1 4 12
Direct
0.000 0.000 0.000
0.000 0.500 0.000
0.500 0.000 0.000
0.500 0.500 0.500
0.000 0.000 0.500
0.808 0.299 0.107
0.299 0.492 0.192
0.893 0.192 0.701
0.299 0.107 0.808
0.107 0.808 0.299
0.701 0.508 0.808
0.492 0.192 0.299
0.508 0.808 0.701
0.701 0.893 0.192
0.808 0.701 0.508
0.192 0.299 0.492
0.192 0.701 0.893

***

(3)
Tb6Pr2ErTm GGA-PBE relaxed; Fermi-level density of states = 27.2 states/eV/cell; formation energy from the elements = 0.116 eV/atom; calculated volume = 327.97 Å³/f.u.; SG = C2/c; raw total energy = -0.3323 Ry/atom
1.0
9.232 -2.152 -2.233
0.744 8.526 -2.023
0.744 -2.337 8.445
Tb Pr Er Tm
12 4 2 2
Direct
0.057 0.126 0.745
0.443 0.255 0.874
0.943 0.874 0.255
0.557 0.745 0.126
0.311 0.980 0.423
0.189 0.577 0.020
0.689 0.020 0.577
0.811 0.423 0.980
0.119 0.708 0.498
0.381 0.502 0.292
0.881 0.292 0.502
0.619 0.498 0.708
0.458 0.806 0.703
0.042 0.297 0.194
0.542 0.194 0.297
0.958 0.703 0.806
0.250 0.983 0.017
0.750 0.017 0.983
0.250 0.407 0.593
0.750 0.593 0.407

***

(4)
NdGdPuHg GGA-PBE relaxed; Fermi-level density of states = 15.9 states/eV/cell; formation energy from the elements = 0.019 eV/atom; calculated volume = 113.51 Å³/f.u.; SG = F-43m; raw total energy = -0.6138 Ry/atom
1.0
5.435 0.000 0.000
2.717 4.707 0.000
2.717 1.569 4.437
Gd Nd Hg Pu
1 1 1 1
Direct
0.000 0.000 0.000
0.500 0.500 0.500
0.250 0.250 0.250
0.750 0.750 0.750